AlFeN2O (PBE+U, optimized geometry); space-group type = P4/mmm; magnetization = 0.697 μB/atom; crystal system = tetragonal; final energy = -5.56 eV per atom
1.0
3.803 0.000 0.000
0.000 3.803 0.000
0.000 0.000 3.633
Al Fe N O
1 1 2 1
Direct
0.000 0.000 0.000
0.500 0.500 0.500
0.000 0.500 0.500
0.500 0.000 0.500
0.500 0.500 0.000